# 1
{"formula": "GaSnPt2", "functional": "GGA-PBE", "state": "relaxed", "cell": [[-2.303, 2.306, 3.252], [2.303, -2.306, 3.252], [2.303, 2.306, -3.252]], "species": ["Sn", "Ga", "Pt", "Pt"], "frac_coords": [[0.500, 0.500, 0.000], [0.000, 0.000, 0.000], [0.250, 0.750, 0.500], [0.750, 0.250, 0.500]], "volume_a3_per_cell": 69.1}

---

# 2
{"formula": "GaSnPt2", "functional": "GGA-PBE", "state": "relaxed", "cell": [[4.018, 0.000, 0.000], [-2.009, 3.480, 0.000], [0.000, 0.000, 5.506]], "species": ["Pt", "Pt", "Sn", "Ga"], "frac_coords": [[0.333, 0.667, 0.758], [0.333, 0.667, 0.242], [0.667, 0.333, 0.500], [0.000, 0.000, 0.000]], "volume_a3_per_cell": 77.0}

---

# 3
{"formula": "SrGaSnPt2", "functional": "GGA-PBE", "state": "relaxed", "cell": [[4.582, 0.000, 0.000], [0.000, 4.582, 0.000], [0.000, 0.000, 10.563]], "species": ["Ga", "Ga", "Sr", "Sr", "Sn", "Sn", "Pt", "Pt", "Pt", "Pt"], "frac_coords": [[0.000, 0.000, 0.500], [0.500, 0.500, 0.500], [0.000, 0.500, 0.255], [0.500, 0.000, 0.745], [0.500, 0.000, 0.134], [0.000, 0.500, 0.866], [0.500, 0.000, 0.388], [0.500, 0.500, 0.000], [0.000, 0.500, 0.612], [0.000, 0.000, 0.000]], "volume_a3_per_cell": 221.7, "polymorph_energy_mev_per_atom": 7}

---

# 4
{"formula": "SrGaSnPt2", "functional": "GGA-PBE", "state": "relaxed", "cell": [[-3.463, 0.578, 3.201], [-2.061, -3.839, -1.537], [5.592, -5.560, 6.392]], "species": ["Ga", "Ga", "Sn", "Sn", "Sr", "Sr", "Pt", "Pt", "Pt", "Pt"], "frac_coords": [[0.243, 0.250, 0.998], [0.757, 0.750, 0.002], [0.697, 0.250, 0.625], [0.303, 0.750, 0.375], [0.233, 0.750, 0.756], [0.767, 0.250, 0.244], [0.186, 0.250, 0.498], [0.814, 0.750, 0.502], [0.268, 0.750, 0.110], [0.732, 0.250, 0.890]], "volume_a3_per_cell": 222.6, "polymorph_energy_mev_per_atom": 0}

---

| no. | E_tot (Ry/atom) | total moment (Bohr magnetons per cell) |
| --- | --- | --- |
| 1 | -0.3760 | 0.00 |
| 2 | -0.3952 | 0.00 |
| 3 | -0.3653 | 0.02 |
| 4 | -0.3658 | 0.02 |